Material: Ho4Ti
Method: DFT, GGA-PBE
State: relaxed

Results
The value obtained for the energy of formation from the pure elements is 0.4815 eV/atom.

```
Ho4Ti
1.0
5.3811 0.0000 0.0000
0.0000 5.3811 0.0000
0.0000 0.0000 5.3811
Ho Ti
4 1
Direct
0.0000 0.0000 0.0000 Ho
0.0000 0.5000 0.5000 Ho
0.5000 0.0000 0.5000 Ho
0.5000 0.5000 0.0000 Ho
0.5000 0.5000 0.5000 Ti
```

***

Material: TePd4I5
Method: DFT, GGA-PBE
State: relaxed

```
TePd4I5
1.0
8.8132 -2.0231 0.0000
8.8132 2.0231 0.0000
-2.0037 0.0000 7.8783
Te Pd I
1 4 5
Direct
0.0000 0.0000 0.0000 Te
0.1660 0.1660 0.0928 Pd
0.4978 0.4978 0.7576 Pd
0.5022 0.5022 0.2424 Pd
0.8340 0.8340 0.9072 Pd
0.0000 0.0000 0.5000 I
0.3373 0.3373 0.6778 I
0.3391 0.3391 0.1492 I
0.6609 0.6609 0.8508 I
0.6627 0.6627 0.3222 I
```

***

Total magnetic moment, record by record: 0.00 0.00 μB/cell
E, record by record: -23.8 -33.2 eV/cell